[1]
Compound: PmTmAlTc
Source: Alexandria
Functional: PBE-GGA
Structure: relaxed

Unit cell a=7.080 b=7.080 c=7.080 alpha=90.00 beta=90.00 gamma=90.00
Space group F-43m (No. 216)
One atom of each set of equivalent atoms:
Pm 0.000 0.000 0.000 x4
Tm 0.000 0.000 0.500 x4
Al 0.250 0.250 0.250 x4
Tc 0.250 0.250 0.750 x4


[2]
Compound: CdPtCl2
Source: Alexandria
Functional: PBE-GGA
Structure: relaxed

Unit cell a=3.242 b=4.268 c=5.720 alpha=90.00 beta=90.00 gamma=90.00
Space group Pmmm (No. 47)
One atom of each set of equivalent atoms:
Cd 0.000 0.000 0.000 x1
Pt 0.500 0.000 0.500 x1
Cl 0.000 0.500 0.500 x1
Cl 0.500 0.500 0.000 x1

- energy above the most stable polymorph in this dataset (meV/atom) = 442
- energy relative to the elements, uncorrected (meV per atom) = 3


[3]
Compound: Tm4Mg7Sc
Source: Alexandria
Functional: PBE-GGA
Structure: relaxed

Unit cell a=5.2019 b=5.2019 c=13.0572 alpha=90.00 beta=90.00 gamma=120.00
Space group P-3m1 (No. 164)
One atom of each set of equivalent atoms:
Tm 0.3333 0.6667 0.1580 x2
Tm 0.3333 0.6667 0.4200 x2
Mg 0.0000 0.0000 0.2563 x2
Mg 0.0000 0.0000 0.5000 x1
Mg 0.3333 0.6667 0.6823 x2
Mg 0.3333 0.6667 0.9197 x2
Sc 0.0000 0.0000 0.0000 x1

- energy above the most stable polymorph in this dataset (meV/atom) = 0


| no. | electronic total energy (eV/atom) |
| --- | --- |
| 1 | -5.93 |
| 2 | -2.66 |
| 3 | -2.95 |